12
Lattice="-8.4619 3.2502 -1.3246 -1.5289 -3.0000 2.4058 4.2673 4.1834 7.9285" Properties=species:S:1:pos:R:3 comment="PBE RbErPdSe3, optimized geometry" magmom_total_mub_per_atom=0.0021 polymorph_energy_mev_per_atom=3 spacegroup="P2_1/m (11)" crystal_system=monoclinic pbc="T T T"
Er -1.5756 1.8002 3.0231
Er -4.1479 2.6334 5.9866
Pd -1.5108 -1.5898 2.3961
Pd -4.2126 6.0234 6.6136
Rb -5.9160 2.8763 1.6067
Rb 0.1925 1.5573 7.4030
Se -1.9972 0.1152 0.6540
Se -4.1897 0.8937 3.7906
Se -0.5501 -0.3902 4.5026
Se -5.1734 4.8237 4.5070
Se -1.5338 3.5399 5.2190
Se -3.7263 4.3184 8.3556

=====

3
Lattice="1.1552 -2.9283 -3.2178 1.3467 -4.1492 1.1108 -2.6436 -3.5355 -0.8803" Properties=species:S:1:pos:R:3 comment="PBE ErRePd, optimized geometry" magmom_total_mub_per_atom=0.6721 delta_e_f_kj_per_mol_fu=150 polymorph_energy_mev_per_atom=0 spacegroup="F-43m (216)" crystal_system=cubic pbc="T T T"
Er -0.0709 -5.3065 -1.4936
Pd -0.0354 -2.6533 -0.7468
Re 0.0000 0.0000 0.0000

=====

3
Lattice="2.7952 -3.5729 0.2664 -0.1203 -2.7123 3.6440 -1.6597 -4.2150 -0.3587" Properties=species:S:1:pos:R:3 comment="PBE ErRePd, optimized geometry" magmom_total_mub_per_atom=0.8399 delta_e_f_kj_per_mol_fu=305 polymorph_energy_mev_per_atom=535 spacegroup="F-43m (216)" crystal_system=cubic pbc="T T T"
Er 0.0000 0.0000 0.0000
Pd 0.2538 -2.6250 0.8879
Re 0.7614 -7.8752 2.6638

=====

Number 1: final energy -4.683 eV per atom. Number 2: final energy -6.870 eV per atom. Number 3: final energy -6.335 eV per atom.